# 1
This record from the Alexandria database describes MgSc5Ni after structural relaxation. The functional is GGA-PBE.

Unit cell a=9.067 b=8.825 c=8.952 alpha=90.00 beta=111.94 gamma=90.00
Space group C2/c (No. 15)
Asymmetric unit:
Mg1 0.000 0.082 0.250 (multiplicity 4)
Sc1 0.000 0.397 0.250 (multiplicity 4)
Sc2 0.098 0.255 0.651 (multiplicity 8)
Sc3 0.239 0.432 0.007 (multiplicity 8)
Ni1 0.250 0.250 0.500 (multiplicity 4)

## Properties
DFT total energy: -5.483 eV/atom
Size of the total moment: 0.00 μB/f.u.

---

# 2
This record from the Alexandria database describes Li4Ag5Ge2 after structural relaxation. The functional is GGA-PBE.

Unit cell a=7.120 b=2.916 c=8.861 alpha=90.00 beta=97.19 gamma=90.00
Space group P2/m (No. 10)
Asymmetric unit:
Li1 0.186 0.000 0.379 (multiplicity 2)
Li2 0.260 0.000 0.931 (multiplicity 2)
Ag1 0.166 0.500 0.645 (multiplicity 2)
Ag2 0.456 0.500 0.175 (multiplicity 2)
Ag3 0.500 0.500 0.500 (multiplicity 1)
Ge1 0.074 0.500 0.140 (multiplicity 2)

## Properties
DFT total energy: -2.988 eV/atom
Size of the total moment: 0.00 μB/f.u.

---

For reference, energy of formation from the pure elements by record: 0.0929; -0.1566 eV per atom.